NpSiO: relaxed, PBE-GGA.

Summary:
- Volume: 15.22 Å³ per atom
- Energy relative to the elements, uncorrected: -1.414 eV/atom
- Magnetization: 7.65 Bohr magnetons per cell

a = 3.298 Å, b = 3.298 Å, c = 8.394 Å
α = 90.00°, β = 90.00°, γ = 90.00°
Site moments in Bohr magnetons follow the coordinates.
Sites, in units of the cell vectors:
Np (0.000, 0.500, 0.183)  3.76
O (0.000, 0.500, 0.905)  -0.10
Si (0.000, 0.500, 0.551)  -0.06
O (0.500, 0.000, 0.095)  -0.10
Np (0.500, 0.000, 0.817)  3.76
Si (0.500, 0.000, 0.449)  -0.06

NpSiO4: relaxed, PBE-GGA.

Summary:
- Volume: 26.88 Å³ per atom
- Energy relative to the elements, uncorrected: -2.665 eV/atom
- Magnetization: 3.00 Bohr magnetons per cell

a = 6.111 Å, b = 6.111 Å, c = 6.110 Å
α = 120.00°, β = 120.00°, γ = 90.00°
Site moments in Bohr magnetons follow the coordinates.
Sites, in units of the cell vectors:
O (0.611, 0.390, 0.219)  -0.05
O (0.608, 0.829, 0.219)  -0.05
O (0.171, 0.389, 0.781)  -0.05
Np (0.750, 0.250, 0.500)  3.03
O (0.610, 0.392, 0.781)  -0.05
Si (0.500, 0.500, 0.000)  0.01

SmNpSi2O8: relaxed, PBE-GGA.

Summary:
- Volume: 12.73 Å³ per atom
- Energy relative to the elements, uncorrected: -2.949 eV/atom
- Magnetization: 2.00 Bohr magnetons per cell

a = 5.851 Å, b = 5.851 Å, c = 5.851 Å
α = 106.43°, β = 106.43°, γ = 115.75°
Site moments in Bohr magnetons follow the coordinates.
Sites, in units of the cell vectors:
Si (0.500, 0.500, 0.000)  0.00
O (0.479, 0.665, 0.815)  -0.04
O (0.399, 0.074, 0.325)  -0.02
O (0.748, 0.074, 0.675)  -0.02
Si (0.750, 0.250, 0.500)  0.00
O (0.926, 0.601, 0.675)  -0.02
O (0.850, 0.665, 0.185)  -0.04
O (0.335, 0.150, 0.815)  -0.04
O (0.335, 0.521, 0.185)  -0.04
Sm (0.000, 0.000, 0.000)  0.00
Np (0.250, 0.750, 0.500)  2.25
O (0.926, 0.252, 0.325)  -0.02

NpSiSnO6: relaxed, PBE-GGA.

Summary:
- Volume: 13.93 Å³ per atom
- Energy relative to the elements, uncorrected: -2.218 eV/atom
- Magnetization: 1.00 Bohr magnetons per cell

a = 5.224 Å, b = 5.223 Å, c = 5.304 Å
α = 89.98°, β = 89.99°, γ = 60.01°
Site moments in Bohr magnetons follow the coordinates.
Sites, in units of the cell vectors:
O (0.037, 0.351, 0.304)  -0.04
O (0.612, 0.037, 0.304)  -0.04
O (0.037, 0.612, 0.696)  -0.04
Sn (0.000, 0.000, 0.000)  -0.01
O (0.351, 0.037, 0.696)  -0.04
Si (0.333, 0.333, 0.500)  0.00
O (0.351, 0.612, 0.304)  -0.04
O (0.612, 0.351, 0.696)  -0.04
Np (0.667, 0.667, 0.500)  1.22

The highest magnetization belongs to which entry? NpSiO